A plane-wave DFT calculation with PBE-GGA was carried out for a relaxed CsYBe3 crystal.

Results
* DFT formation energy: 7.3 eV/f.u.

abc: 5.579 5.579 5.579
angles: 90.00 90.00 90.00
Fractional coordinates of all 5 atoms:
Cs  0.000  0.000  0.000
Y  0.500  0.500  0.500
Be  0.000  0.500  0.500
Be  0.500  0.000  0.500
Be  0.500  0.500  0.000

=====

A plane-wave DFT calculation with PBE-GGA was carried out for a relaxed Cs3YBe crystal.

Results
* DFT formation energy: 5.3 eV/f.u.

abc: 6.996 6.996 6.996
angles: 90.00 90.00 90.00
Fractional coordinates of all 5 atoms:
Cs  0.000  0.000  0.500
Cs  0.000  0.500  0.000
Cs  0.500  0.000  0.000
Y  0.500  0.500  0.500
Be  0.000  0.000  0.000

=====

no.,theoretical density (Mg/m³),E (eV per atom),energy above the most stable polymorph in this dataset (meV per atom)
1,2.38,-2.23,0
2,2.41,-1.49,0